[1]
Below is an optimized crystal structure of Cr2OsAu, with properties calculated at the PBEsol level.

Structure (CIF):
```
data_Cr2OsAu
_chemical_formula_sum 'Cr2 Os1 Au1'
_space_group_name_H-M_alt 'P 1'
_space_group_IT_number 1
_space_group_name_Hall 'P 1'
_cell_length_a 2.747
_cell_length_b 4.610
_cell_length_c 4.664
_cell_angle_alpha 100.45
_cell_angle_beta 90.00
_cell_angle_gamma 107.33
loop_
_atom_site_label
_atom_site_fract_x
_atom_site_fract_y
_atom_site_fract_z
_atom_site_occupancy
Au1 0.500 0.000 0.000 1
Cr1 0.746 0.493 0.691 1
Cr2 0.254 0.507 0.309 1
Os1 0.000 0.000 0.500 1
```

* size of the total moment: 0.00 μB per formula unit
* total DFT energy (no corrections): -8.795 eV per atom
* symmetry: C2/m (12)

---

[2]
Below is an optimized crystal structure of Ta2ZnW, with properties calculated at the PBEsol level.

Structure (CIF):
```
data_Ta2ZnW
_chemical_formula_sum 'Ta2 Zn1 W1'
_space_group_name_H-M_alt 'P 1'
_space_group_IT_number 1
_space_group_name_Hall 'P 1'
_cell_length_a 2.706
_cell_length_b 4.318
_cell_length_c 5.623
_cell_angle_alpha 90.00
_cell_angle_beta 90.00
_cell_angle_gamma 90.00
loop_
_atom_site_label
_atom_site_fract_x
_atom_site_fract_y
_atom_site_fract_z
_atom_site_occupancy
Ta1 0.000 0.000 0.994 1
Ta2 0.500 0.500 0.257 1
W1 0.000 0.000 0.499 1
Zn1 0.500 0.500 0.750 1
```

* size of the total moment: 0.00 μB per formula unit
* total DFT energy (no corrections): -9.870 eV per atom
* symmetry: Pmm2 (25)

---

[3]
Below is an optimized crystal structure of Ba2CdPt, with properties calculated at the PBEsol level.

Structure (CIF):
```
data_Ba2CdPt
_chemical_formula_sum 'Ba2 Cd1 Pt1'
_space_group_name_H-M_alt 'P 1'
_space_group_IT_number 1
_space_group_name_Hall 'P 1'
_cell_length_a 3.888
_cell_length_b 3.888
_cell_length_c 8.183
_cell_angle_alpha 90.00
_cell_angle_beta 90.00
_cell_angle_gamma 90.00
loop_
_atom_site_label
_atom_site_fract_x
_atom_site_fract_y
_atom_site_fract_z
_atom_site_occupancy
Ba1 0.000 0.000 0.719 1
Ba2 0.000 0.000 0.281 1
Pt1 0.500 0.500 0.500 1
Cd1 0.500 0.500 0.000 1
```

* size of the total moment: 0.00 μB per formula unit
* total DFT energy (no corrections): -3.543 eV per atom
* symmetry: P4/mmm (123)